# 1
PuSbAs | PBE-GGA | relaxed

a b c (Å): 5.8399 5.8399 5.8399
angles (deg): 140.45 140.45 57.17
With the nearest neighbours (Å) after each atom.
Element x y z (fractional)
Pu  0.0000  0.0000  0.0000  4 As 2.93
Sb  0.3238  0.3238  0.0000  1 As 2.70
As  0.5867  0.5867  0.0000  1 Sb 2.70, 4 Pu 2.93

Its space group is No. 107. As for the formation energy (no corrections): -1.31 eV/f.u. Its crystal system is tetragonal. The density of states at the Fermi level comes out at 3.175 states/eV per atom.



# 2
Li4VPd5 | PBE-GGA | relaxed

a b c (Å): 2.9901 2.9901 15.2257
angles (deg): 90.00 90.00 90.00
With the nearest neighbours (Å) after each atom.
Element x y z (fractional)
Li  0.0000  0.0000  0.0970  8 Pd 2.58-2.59
Li  0.0000  0.0000  0.2897  8 Pd 2.55-2.65
Li  0.0000  0.0000  0.7103  8 Pd 2.55-2.65
Li  0.0000  0.0000  0.9030  8 Pd 2.58-2.59
V  0.0000  0.0000  0.5000  8 Pd 2.66
Pd  0.5000  0.5000  0.0000  8 Li 2.58
Pd  0.5000  0.5000  0.1955  8 Li 2.55-2.59
Pd  0.5000  0.5000  0.3942  4 Li 2.65, 4 V 2.66
Pd  0.5000  0.5000  0.6058  4 Li 2.65, 4 V 2.66
Pd  0.5000  0.5000  0.8045  8 Li 2.55-2.59

Its space group is No. 123. Its crystal system is tetragonal. The density of states at the Fermi level comes out at 0.526 states/eV per atom. The energy of formation is -0.371 eV/atom.



# 3
LaMn2Cd | PBE-GGA | relaxed

a b c (Å): 6.3587 6.3587 6.3587
angles (deg): 103.70 103.70 121.76
With the nearest neighbours (Å) after each atom.
Element x y z (fractional)
La  0.0000  0.0000  0.0000  4 Mn 3.05, 2 Cd 3.09
La  0.7500  0.2500  0.5000  4 Mn 3.05, 2 Cd 3.09
Mn  0.1553  0.6250  0.0303  2 Cd 2.73, 2 La 3.05
Mn  0.3750  0.4053  0.5303  2 Cd 2.73, 2 La 3.05
Mn  0.5947  0.1250  0.9697  2 Cd 2.73, 2 La 3.05
Mn  0.8750  0.8447  0.4697  2 Cd 2.73, 2 La 3.05
Cd  0.2500  0.7500  0.5000  4 Mn 2.73
Cd  0.5000  0.5000  0.0000  4 Mn 2.73

Its space group is No. 122. Its crystal system is tetragonal. The density of states at the Fermi level comes out at 0.506 states/eV per atom. The energy of formation is 0.575 eV/atom.



# 4
Sn2Au2Se | PBE-GGA | relaxed

a b c (Å): 7.9433 7.9433 3.8122
angles (deg): 90.00 90.00 90.00
With the nearest neighbours (Å) after each atom.
Element x y z (fractional)
Sn  0.1890  0.3110  0.0000  6 Au 2.85-3.17, 2 Se 2.89
Sn  0.3110  0.8110  0.0000  6 Au 2.85-3.17, 2 Se 2.89
Sn  0.6890  0.1890  0.0000  6 Au 2.85-3.17, 2 Se 2.89
Sn  0.8110  0.6890  0.0000  6 Au 2.85-3.17, 2 Se 2.89
Au  0.1225  0.6225  0.5000  1 Au 2.75, 2 Sn 2.85
Au  0.3775  0.1225  0.5000  1 Au 2.75, 2 Sn 2.85
Au  0.6225  0.8775  0.5000  1 Au 2.75, 2 Sn 2.85
Au  0.8775  0.3775  0.5000  1 Au 2.75, 2 Sn 2.85
Se  0.0000  0.0000  0.0000  4 Sn 2.89
Se  0.5000  0.5000  0.0000  4 Sn 2.89

Its space group is No. 127. As for the formation energy (no corrections): -0.18 eV/f.u. Its crystal system is tetragonal. The density of states at the Fermi level comes out at 0.518 states/eV per atom.



# 5
Fe2Pd4Pt | PBE-GGA | relaxed

a b c (Å): 8.8180 8.8180 8.8180
angles (deg): 162.12 150.22 34.95
With the nearest neighbours (Å) after each atom.
Element x y z (fractional)
Fe  0.1360  0.1360  0.0000  8 Pd 2.66-2.78, 2 Pt 2.67, 2 Fe 2.74
Fe  0.8640  0.8640  0.0000  8 Pd 2.66-2.78, 2 Pt 2.67, 2 Fe 2.74
Pd  0.2712  0.7712  0.5000  4 Fe 2.66-2.75, 8 Pd 2.74-2.78
Pd  0.4148  0.4148  0.0000  2 Pt 2.68, 5 Pd 2.74-2.87, 4 Fe 2.78
Pd  0.5852  0.5852  0.0000  2 Pt 2.68, 5 Pd 2.74-2.87, 4 Fe 2.78
Pd  0.7288  0.2288  0.5000  4 Fe 2.66-2.75, 8 Pd 2.74-2.78
Pt  0.0000  0.5000  0.5000  4 Fe 2.67, 4 Pd 2.68, 2 Pt 2.74

Its space group is No. 71. Its crystal system is orthorhombic. The density of states at the Fermi level comes out at 0.843 states/eV per atom. The energy of formation is -0.044 eV/atom.



# 6
NaIn2Ni | PBE-GGA | relaxed

a b c (Å): 5.9756 5.9756 5.9756
angles (deg): 43.97 43.97 43.97
With the nearest neighbours (Å) after each atom.
Element x y z (fractional)
Na  0.0000  0.0000  0.0000  1 Ni 2.92, 6 In 3.17-3.26
In  0.2105  0.2105  0.2105  3 Ni 2.75, 3 In 3.02
In  0.4474  0.4474  0.4474  3 Ni 2.66
Ni  0.8191  0.8191  0.8191  6 In 2.66-2.75, 1 Na 2.92

Its space group is No. 160. Its crystal system is trigonal. The density of states at the Fermi level comes out at 0.377 states/eV per atom. The energy of formation is -0.020 eV/atom.



# 7
YTaSn2 | PBE-GGA | relaxed

a b c (Å): 6.4724 6.4724 6.4724
angles (deg): 103.94 103.94 121.22
With the nearest neighbours (Å) after each atom.
Element x y z (fractional)
Y  0.0000  0.0000  0.0000  4 Sn 3.06, 2 Ta 3.18
Y  0.7500  0.2500  0.5000  4 Sn 3.06, 2 Ta 3.18
Ta  0.2500  0.7500  0.5000  4 Sn 2.80
Ta  0.5000  0.5000  0.0000  4 Sn 2.80
Sn  0.1488  0.6250  0.0238  2 Ta 2.80, 2 Y 3.06
Sn  0.3750  0.3988  0.5238  2 Ta 2.80, 2 Y 3.06
Sn  0.6012  0.1250  0.9762  2 Ta 2.80, 2 Y 3.06
Sn  0.8750  0.8512  0.4762  2 Ta 2.80, 2 Y 3.06

Its space group is No. 122. Its crystal system is tetragonal. The density of states at the Fermi level comes out at 0.118 states/eV per atom. The energy of formation is 0.046 eV/atom.



# 8
VHgTeI2 | PBE-GGA | relaxed

a b c (Å): 5.6433 5.6433 5.2292
angles (deg): 90.00 90.00 90.00
With the nearest neighbours (Å) after each atom.
Element x y z (fractional)
V  0.0000  0.0000  0.0000  2 Te 2.61, 4 I 2.82
Hg  0.5000  0.5000  0.5000  8 I 3.85, 4 Te 3.99
Te  0.0000  0.0000  0.5000  2 V 2.61
I  0.0000  0.5000  0.0000  2 V 2.82
I  0.5000  0.0000  0.0000  2 V 2.82

Its space group is No. 123. As for the formation energy (no corrections): 0.06 eV/f.u. Its crystal system is tetragonal. The density of states at the Fermi level comes out at 1.217 states/eV per atom.



# 9
La6Rh2SeBr3 | PBE-GGA | relaxed

a b c (Å): 7.4145 7.4145 8.0597
angles (deg): 98.82 98.82 119.90
With the nearest neighbours (Å) after each atom.
Element x y z (fractional)
La  0.0771  0.4301  0.7940  2 Rh 2.87, 1 Se 3.06
La  0.2143  0.2143  0.2038  2 Rh 2.87, 1 Se 3.06
La  0.4301  0.0771  0.7940  2 Rh 2.87, 1 Se 3.06
La  0.5699  0.9229  0.2060  2 Rh 2.87, 1 Se 3.06
La  0.7857  0.7857  0.7962  2 Rh 2.87, 1 Se 3.06
La  0.9229  0.5699  0.2060  2 Rh 2.87, 1 Se 3.06
Rh  0.1676  0.8324  0.0000  6 La 2.87
Rh  0.8324  0.1676  0.0000  6 La 2.87
Se  0.5000  0.5000  0.0000  6 La 3.06
Br  0.0000  0.0000  0.5000  6 La 3.25-3.40
Br  0.3402  0.6598  0.5000  6 La 3.29-3.41
Br  0.6598  0.3402  0.5000  6 La 3.29-3.41

Its space group is No. 12. As for the formation energy (no corrections): -15.67 eV/f.u. Its crystal system is monoclinic. The density of states at the Fermi level comes out at 0.710 states/eV per atom.



# 10
PmAsRuO | PBE-GGA | relaxed

a b c (Å): 4.1073 4.1073 8.3088
angles (deg): 90.00 90.00 90.00
With the nearest neighbours (Å) after each atom.
Element x y z (fractional)
Pm  0.2500  0.2500  0.1356  4 O 2.34
Pm  0.7500  0.7500  0.8644  4 O 2.34
As  0.2500  0.2500  0.6589  4 Ru 2.44
As  0.7500  0.7500  0.3411  4 Ru 2.44
Ru  0.2500  0.7500  0.5000  4 As 2.44
Ru  0.7500  0.2500  0.5000  4 As 2.44
O  0.2500  0.7500  0.0000  4 Pm 2.34
O  0.7500  0.2500  0.0000  4 Pm 2.34

Its space group is No. 129. As for the formation energy (no corrections): -7.44 eV/f.u. Its crystal system is tetragonal. The density of states at the Fermi level comes out at 0.277 states/eV per atom.



# 11
TaMnNiH2 | PBE-GGA | relaxed

a b c (Å): 3.3638 3.3638 4.7526
angles (deg): 90.00 90.00 90.00
With the nearest neighbours (Å) after each atom.
Element x y z (fractional)
Ta  0.0000  0.0000  0.0000  4 Mn 2.38
Mn  0.5000  0.5000  0.0000  2 Ni 2.38, 4 Ta 2.38
Ni  0.5000  0.5000  0.5000  4 H 1.68
H  0.0000  0.5000  0.5000  2 Ni 1.68
H  0.5000  0.0000  0.5000  2 Ni 1.68

Its space group is No. 123. Its crystal system is tetragonal. The density of states at the Fermi level comes out at 0.719 states/eV per atom. Its total energy is -6.055 eV/atom.



# 12
Sn3BiCl | PBE-GGA | relaxed

a b c (Å): 5.4542 5.4542 5.4542
angles (deg): 90.00 90.00 90.00
With the nearest neighbours (Å) after each atom.
Element x y z (fractional)
Sn  0.0000  0.0000  0.5000  2 Cl 2.73
Sn  0.0000  0.5000  0.0000  2 Cl 2.73
Sn  0.5000  0.0000  0.0000  2 Cl 2.73
Bi  0.5000  0.5000  0.5000  12 Sn 3.86
Cl  0.0000  0.0000  0.0000  6 Sn 2.73

Its space group is No. 221. As for the formation energy (no corrections): 1.63 eV/f.u. Its crystal system is cubic. The density of states at the Fermi level comes out at 0.788 states/eV per atom.